(1)
Density functional theory data (GGA-PBE) for a relaxed structure of ZrAl2Si2.

Values from the calculation:
Theoretical density ... 3.74 g/cm3
Formation energy (no corrections) ... -0.0458 eV per atom

The structure in extended XYZ format:
```
10
Lattice="-1.071 -0.455 -3.632 -1.163 -5.362 1.015 -7.873 2.097 2.060" Properties=species:S:1:pos:R:3 pbc="T T T"
Si -7.245 -2.633 0.465
Al -6.260 -3.995 2.348
Zr -4.518 -1.633 1.537
Si -2.862 -1.087 -1.022
Al -1.746 -2.380 0.813
Si -6.773 0.077 -0.014
Al -2.775 0.730 0.727
Zr 0.000 0.000 0.000
Al -7.289 -0.885 2.261
Si -3.334 -3.797 -0.543
```

---

(2)
Density functional theory data (GGA-PBE) for a relaxed structure of La3TmSe4.

Values from the calculation:
Theoretical density ... 6.93 g/cm3
Energy above the most stable polymorph in this dataset ... 0.000 kcal/mol of atoms
Formation energy (no corrections) ... -1.9104 eV per atom

The structure in extended XYZ format:
```
16
Lattice="-3.461 -0.821 6.410 4.519 -5.759 -1.100 6.228 4.144 3.894" Properties=species:S:1:pos:R:3 pbc="T T T"
Se 5.619 -2.163 4.903
Se 1.772 -0.861 0.198
Se 1.611 0.431 8.553
La 3.744 -1.521 2.521
La 6.835 0.535 4.454
La 3.543 -0.914 6.682
Se 5.514 -1.575 9.005
Tm -0.079 0.318 2.094
Se 2.460 -4.348 2.809
Se 4.827 1.912 6.394
Se 5.675 -2.867 0.651
La 3.026 2.384 4.035
La 0.452 -2.971 4.750
La -0.259 0.939 6.268
Se 1.667 -0.272 4.301
Tm 2.847 3.005 8.210
```

---

(3)
Density functional theory data (GGA-PBE) for a relaxed structure of Ca3Mg4.

Values from the calculation:
Theoretical density ... 1.54 g/cm3
E_form ... 0.195 eV per atom
Energy above the most stable polymorph in this dataset ... 5.534 kcal/mol of atoms

The structure in extended XYZ format:
```
7
Lattice="0.446 5.978 3.226 -2.203 -5.511 3.334 5.497 -1.253 1.561" Properties=species:S:1:pos:R:3 pbc="T T T"
Ca -0.879 0.234 3.280
Ca -1.102 -2.755 1.667
Mg 2.311 1.522 4.043
Mg 1.428 -2.308 4.079
Mg 4.109 -0.937 1.167
Ca 0.223 2.989 1.613
Mg 1.387 -0.316 0.394
```

---

no.,VASP energy (hartree per atom),N(E_F) (states/eV per cell)
1,-0.199,3.85
2,-0.223,8.73
3,-0.058,6.71